Version w
Below is a relaxed structure of Y6HoSc3, with properties calculated at the PBE-GGA level.

Spin magnetization = 0.0001 μB/atom
ρ = 4.6 g/cm3
N(E_F) = 57.25 states/eV per cell

Cell: 10.407 18.636 6.210 Å, 90.00 90.00 90.00°
Space group Cmc2_1 (No. 36)
Symmetry-distinct sites (fractional):
1 Y 0.000 0.047 0.000 (multiplicity 4)
2 Y 0.000 0.302 0.811 (multiplicity 4)
3 Y 0.168 0.464 0.674 (multiplicity 8)
4 Y 0.241 0.203 0.994 (multiplicity 8)
5 Ho 0.000 0.210 0.326 (multiplicity 4)
6 Sc 0.000 0.386 0.255 (multiplicity 4)
7 Sc 0.189 0.115 0.564 (multiplicity 8)



Version x
Below is a relaxed structure of Y6HoSc3, with properties calculated at the PBE-GGA level.

Spin magnetization = 0.0002 μB/atom
ρ = 4.6 g/cm3
N(E_F) = 62.09 states/eV per cell

Cell: 9.430 20.362 6.262 Å, 90.00 90.00 90.00°
Space group Cmc2_1 (No. 36)
Symmetry-distinct sites (fractional):
1 Y 0.000 0.015 0.000 (multiplicity 4)
2 Y 0.000 0.302 0.004 (multiplicity 4)
3 Y 0.178 0.282 0.469 (multiplicity 8)
4 Y 0.180 0.443 0.211 (multiplicity 8)
5 Ho 0.000 0.158 0.776 (multiplicity 4)
6 Sc 0.000 0.416 0.691 (multiplicity 4)
7 Sc 0.167 0.127 0.307 (multiplicity 8)



Question: which arrangement is favored energetically? Ranking from most to least stable: version x, version w.



Version w
Below is a relaxed structure of HoScZn4, with properties calculated at the PBE-GGA level.

Spin magnetization = 0.0000 μB/atom
ρ = 7.0 g/cm3
N(E_F) = 8.27 states/eV per cell

Cell: 4.423 6.643 7.666 Å, 90.00 90.00 90.00°
Space group Immm (No. 71)
Symmetry-distinct sites (fractional):
1 Ho 0.000 0.000 0.000 (multiplicity 2)
2 Sc 0.000 0.500 0.000 (multiplicity 2)
3 Zn 0.000 0.242 0.334 (multiplicity 8)



Version x
Below is a relaxed structure of HoScZn4, with properties calculated at the PBE-GGA level.

Spin magnetization = 0.0000 μB/atom
ρ = 7.2 g/cm3
N(E_F) = 15.98 states/eV per cell

Cell: 7.563 7.563 7.563 Å, 90.00 90.00 90.00°
Space group F-43m (No. 216)
Symmetry-distinct sites (fractional):
1 Ho 0.000 0.000 0.000 (multiplicity 4)
2 Sc 0.250 0.250 0.250 (multiplicity 4)
3 Zn 0.125 0.125 0.625 (multiplicity 16)



Question: which arrangement is favored energetically? Ranking from most to least stable: version w, version x.